1.
! PBE YHfH, optimized geometry; values from VASP
! Fermi-level density of states in states/eV/cell: 9.36
! SG: No. 62
! Volume in Å³ per atom: 17.8
&SYSTEM
  ibrav = 0, nat = 12, ntyp = 3
/
ATOMIC_SPECIES
Y 88.91 Y.upf
H 1.01 H.upf
Hf 178.49 Hf.upf
CELL_PARAMETERS angstrom
-9.451 1.144 5.169
-1.248 -2.623 -1.702
1.866 -3.622 4.213
ATOMIC_POSITIONS crystal
Y 0.999 0.250 0.753
Y 0.501 0.750 0.253
Y 0.001 0.750 0.247
Y 0.499 0.250 0.747
H 0.849 0.250 0.412
H 0.651 0.750 0.912
H 0.151 0.750 0.588
H 0.349 0.250 0.088
Hf 0.250 0.250 0.418
Hf 0.250 0.750 0.918
Hf 0.750 0.750 0.582
Hf 0.750 0.250 0.082

=====

2.
! PBE Ta2WAu, optimized geometry; values from VASP
! Fermi-level density of states in states/eV/cell: 3.46
! SG: No. 8
! E_form in eV per atom: 0.163
! Volume in Å³ per atom: 17.6
&SYSTEM
  ibrav = 0, nat = 4, ntyp = 3
/
ATOMIC_SPECIES
Au 196.97 Au.upf
Ta 180.95 Ta.upf
W 183.84 W.upf
CELL_PARAMETERS angstrom
5.086 0.006 0.005
4.294 2.727 0.005
0.718 0.209 5.076
ATOMIC_POSITIONS crystal
Au 0.752 0.752 0.759
Ta 0.006 0.006 0.987
Ta 0.248 0.248 0.263
W 0.494 0.494 0.490

=====

no.,electronic total energy (eV per cell)
1,-80.61
2,-39.29